! In2HgPdCl | Alexandria via LeMat-Bulk | PBE | optimized geometry; values from VASP
! E_form (uncorrected), meV per atom: -391
! Energy, eV/atom: -2.95
! Density of states at the Fermi level, states/eV/f.u.: 1.6
&SYSTEM
  ibrav = 0, nat = 5, ntyp = 4
/
ATOMIC_SPECIES
In 114.82 In.upf
Hg 200.59 Hg.upf
Pd 106.42 Pd.upf
Cl 35.45 Cl.upf
CELL_PARAMETERS angstrom
5.226 0.000 0.000
0.000 5.226 0.000
0.000 0.000 5.293
ATOMIC_POSITIONS crystal
In 0.000 0.500 0.000
In 0.500 0.000 0.000
Hg 0.000 0.000 0.500
Pd 0.000 0.000 0.000
Cl 0.500 0.500 0.500